No. 1
! PBE-GGA KPbBr, optimized geometry; values from VASP
! Energy relative to the lowest polymorph listed for this composition ... 70 kJ/mol of formula units
! Calculated volume ... 41.02 Å³/atom
! Formation energy from raw total energies ... -0.32 eV per atom
! Raw total energy ... -2.48 eV per atom
! Crystal system ... cubic
&SYSTEM
  ibrav = 0, nat = 3, ntyp = 3
/
ATOMIC_SPECIES
K 39.10 K.upf
Pb 207.20 Pb.upf
Br 79.90 Br.upf
CELL_PARAMETERS angstrom
0.000 3.948 3.948
3.948 0.000 3.948
3.948 3.948 0.000
ATOMIC_POSITIONS angstrom
K 0.000 0.000 0.000
Pb 3.948 3.948 3.948
Br 5.922 5.922 5.922

=====

No. 2
! PBE-GGA CeGaAg2, optimized geometry; values from VASP
! ΔE_f ... -25.0 kJ/mol of atoms
! Energy relative to the lowest polymorph listed for this composition ... 0 kJ/mol of formula units
! Calculated volume ... 21.42 Å³/atom
! Raw total energy ... -3.92 eV per atom
! Crystal system ... orthorhombic
&SYSTEM
  ibrav = 0, nat = 8, ntyp = 3
/
ATOMIC_SPECIES
Ce 140.12 Ce.upf
Ga 69.72 Ga.upf
Ag 107.87 Ag.upf
CELL_PARAMETERS angstrom
6.921 0.000 0.000
0.000 2.321 5.335
0.000 -2.321 5.335
ATOMIC_POSITIONS angstrom
Ce 0.000 0.000 0.000
Ce 3.461 0.000 2.007
Ga 1.335 0.000 7.705
Ga 5.586 0.000 7.705
Ag 0.000 0.000 3.081
Ag 2.074 0.000 5.126
Ag 3.461 0.000 9.461
Ag 4.847 0.000 5.126

=====

No. 3
! PBE-GGA Sc6Ga2Ni, optimized geometry; values from VASP
! ΔE_f ... -31.6 kJ/mol of atoms
! Calculated volume ... 21.01 Å³/atom
! Raw total energy ... -5.86 eV per atom
! Crystal system ... monoclinic
&SYSTEM
  ibrav = 0, nat = 18, ntyp = 3
/
ATOMIC_SPECIES
Sc 44.96 Sc.upf
Ga 69.72 Ga.upf
Ni 58.69 Ni.upf
CELL_PARAMETERS angstrom
5.449 0.000 0.000
0.000 7.831 0.000
-4.848 0.000 8.861
ATOMIC_POSITIONS angstrom
Sc -1.908 1.394 3.909
Sc -4.332 2.522 8.340
Sc -0.228 5.279 3.914
Sc -2.652 6.467 8.345
Sc 0.715 0.218 2.390
Sc -1.709 3.698 6.821
Sc 2.310 4.133 2.041
Sc -0.114 7.613 6.471
Sc 3.253 1.364 0.517
Sc 0.829 2.552 4.947
Sc 4.934 5.309 0.522
Sc 2.510 6.437 4.952
Ga -2.703 0.992 6.662
Ga -0.279 2.923 2.231
Ga 0.880 4.908 6.631
Ga 3.304 6.839 2.200
Ni 0.000 0.000 0.000
Ni -2.424 3.915 4.431

=====

No. 4
! PBE-GGA BaHg2Ir, optimized geometry; values from VASP
! ΔE_f ... 26.0 kJ/mol of atoms
! Calculated volume ... 25.95 Å³/atom
! Raw total energy ... -2.58 eV per atom
! Crystal system ... tetragonal
&SYSTEM
  ibrav = 0, nat = 4, ntyp = 3
/
ATOMIC_SPECIES
Ba 137.33 Ba.upf
Hg 200.59 Hg.upf
Ir 192.22 Ir.upf
CELL_PARAMETERS angstrom
4.542 0.000 0.000
0.000 4.542 0.000
0.000 0.000 5.030
ATOMIC_POSITIONS angstrom
Ba 0.000 0.000 0.000
Hg 0.000 2.271 2.515
Hg 2.271 0.000 2.515
Ir 2.271 2.271 0.000

=====

No. 5
! PBE-GGA BaZrCo, optimized geometry; values from VASP
! ΔE_f ... 5.1 kJ/mol of atoms
! Energy relative to the lowest polymorph listed for this composition ... 11 kJ/mol of formula units
! Calculated volume ... 30.71 Å³/atom
! Raw total energy ... -5.81 eV per atom
! Crystal system ... triclinic
&SYSTEM
  ibrav = 0, nat = 6, ntyp = 3
/
ATOMIC_SPECIES
Ba 137.33 Ba.upf
Zr 91.22 Zr.upf
Co 58.93 Co.upf
CELL_PARAMETERS angstrom
3.696 0.000 0.000
1.846 4.468 0.000
0.123 0.375 11.159
ATOMIC_POSITIONS angstrom
Ba 0.984 1.067 1.969
Ba 4.682 3.776 9.190
Zr 0.986 1.211 6.453
Zr 4.680 3.632 4.706
Co 2.832 3.182 6.597
Co 2.834 1.661 4.561

=====

No. 6
! PBE-GGA CsBaIn2I8, optimized geometry; values from VASP
! Calculated volume ... 53.80 Å³/atom
! Formation energy from raw total energies ... -0.92 eV per atom
! Raw total energy ... -2.65 eV per atom
! Crystal system ... trigonal
&SYSTEM
  ibrav = 0, nat = 12, ntyp = 4
/
ATOMIC_SPECIES
Cs 132.91 Cs.upf
Ba 137.33 Ba.upf
In 114.82 In.upf
I 126.90 I.upf
CELL_PARAMETERS angstrom
7.942 0.000 0.000
-3.971 6.878 0.000
0.000 0.000 11.819
ATOMIC_POSITIONS angstrom
Cs 0.000 0.000 0.000
Ba 0.000 0.000 5.909
In 0.000 4.585 9.006
In 3.971 2.293 2.813
I -2.529 4.650 3.662
I 1.209 2.363 3.662
I 0.000 4.585 11.811
I 2.651 0.135 8.157
I 1.320 6.743 3.662
I 3.971 2.293 0.008
I 2.762 4.515 8.157
I 6.500 2.228 8.157

=====

No. 7
! PBE-GGA Pr2SmHoTm4, optimized geometry; values from VASP
! ΔE_f ... 2.4 kJ/mol of atoms
! Calculated volume ... 32.06 Å³/atom
! Raw total energy ... -4.57 eV per atom
! Crystal system ... orthorhombic
&SYSTEM
  ibrav = 0, nat = 8, ntyp = 4
/
ATOMIC_SPECIES
Pr 140.91 Pr.upf
Sm 150.36 Sm.upf
Ho 164.93 Ho.upf
Tm 168.93 Tm.upf
CELL_PARAMETERS angstrom
5.071 0.000 0.000
0.000 5.093 0.000
0.000 0.000 9.930
ATOMIC_POSITIONS angstrom
Pr 0.000 0.000 0.000
Pr 2.536 2.547 4.965
Sm 0.000 0.000 4.965
Ho 2.536 2.547 0.000
Tm 0.000 2.547 2.466
Tm 0.000 2.547 7.464
Tm 2.536 0.000 2.469
Tm 2.536 0.000 7.461

=====

No. 8
! PBE-GGA BaNp2Pd2S6, optimized geometry; values from VASP
! Calculated volume ... 24.04 Å³/atom
! Formation energy from raw total energies ... -1.07 eV per atom
! Raw total energy ... -6.79 eV per atom
! Crystal system ... triclinic
&SYSTEM
  ibrav = 0, nat = 11, ntyp = 4
/
ATOMIC_SPECIES
Ba 137.33 Ba.upf
Np 237.00 Np.upf
Pd 106.42 Pd.upf
S 32.06 S.upf
CELL_PARAMETERS angstrom
6.430 0.000 0.000
-3.150 6.512 0.000
-2.338 -2.708 6.314
ATOMIC_POSITIONS angstrom
Ba 0.000 0.000 0.000
Np -0.384 0.300 4.241
Np 1.325 3.505 2.073
Pd -2.397 3.016 4.042
Pd 3.339 0.788 2.272
S -2.828 4.845 2.553
S -0.880 1.969 2.255
S -1.565 1.933 6.021
S 2.506 1.872 0.293
S 1.822 1.835 4.060
S 3.770 -1.040 3.761

=====

No. 9
! PBE-GGA TcBiF2, optimized geometry; values from VASP
! Energy relative to the lowest polymorph listed for this composition ... 20 kJ/mol of formula units
! Calculated volume ... 16.51 Å³/atom
! Formation energy from raw total energies ... -0.67 eV per atom
! Raw total energy ... -5.17 eV per atom
! Crystal system ... tetragonal
&SYSTEM
  ibrav = 0, nat = 8, ntyp = 3
/
ATOMIC_SPECIES
Tc 98.00 Tc.upf
Bi 208.98 Bi.upf
F 19.00 F.upf
CELL_PARAMETERS angstrom
-2.022 2.022 8.080
2.022 -2.022 8.080
2.022 2.022 -8.080
ATOMIC_POSITIONS angstrom
Tc 0.000 0.000 0.000
Tc 0.000 2.022 4.040
Bi 2.022 0.000 4.040
Bi 0.000 0.000 8.080
F 3.033 0.866 -2.020
F 0.866 1.011 2.020
F -1.011 1.155 6.060
F 1.155 1.011 10.100

=====

No. 10
! PBE-GGA RbCrCl3, optimized geometry; values from VASP
! Calculated volume ... 30.94 Å³/atom
! Formation energy from raw total energies ... -1.25 eV per atom
! Raw total energy ... -4.47 eV per atom
! Crystal system ... triclinic
&SYSTEM
  ibrav = 0, nat = 10, ntyp = 3
/
ATOMIC_SPECIES
Rb 85.47 Rb.upf
Cr 52.00 Cr.upf
Cl 35.45 Cl.upf
CELL_PARAMETERS angstrom
5.943 0.000 0.000
1.054 7.552 0.000
0.064 3.258 6.895
ATOMIC_POSITIONS angstrom
Rb 1.624 3.416 2.538
Rb 5.438 7.395 4.357
Cr 1.547 6.817 0.209
Cr 5.514 3.994 6.686
Cl 1.423 5.232 6.321
Cl 2.430 9.058 5.263
Cl 2.317 6.859 2.333
Cl 4.745 3.951 4.562
Cl 4.632 1.752 1.631
Cl 5.638 5.578 0.574

=====

No. 11
! PBE-GGA Pr3Nd2Sm5, optimized geometry; values from VASP
! ΔE_f ... 16.7 kJ/mol of atoms
! Energy relative to the lowest polymorph listed for this composition ... 0 kJ/mol of formula units
! Calculated volume ... 35.16 Å³/atom
! Raw total energy ... -4.57 eV per atom
! Crystal system ... monoclinic
&SYSTEM
  ibrav = 0, nat = 20, ntyp = 3
/
ATOMIC_SPECIES
Pr 140.91 Pr.upf
Nd 144.24 Nd.upf
Sm 150.36 Sm.upf
CELL_PARAMETERS angstrom
5.497 -8.456 0.000
5.497 8.456 0.000
-5.496 0.000 7.563
ATOMIC_POSITIONS angstrom
Pr 1.375 2.100 0.330
Pr 1.375 4.643 5.672
Pr -1.373 -2.100 4.112
Pr 6.871 2.100 3.451
Pr 4.123 -4.643 1.891
Pr 4.123 -2.100 7.233
Nd 1.376 2.069 3.474
Nd -1.372 -2.069 7.255
Nd 6.870 2.069 0.308
Nd 4.122 -2.069 4.089
Sm 1.375 7.992 5.672
Sm -1.378 2.028 5.692
Sm 4.123 3.797 1.891
Sm 1.370 -2.028 1.910
Sm 4.123 0.491 1.891
Sm 1.375 -0.491 5.672
Sm 4.129 2.028 5.653
Sm 1.375 -3.797 5.672
Sm 6.877 -2.028 1.871
Sm 4.123 -7.992 1.891

=====

No. 12
! PBE-GGA Pm5Nd12Cd2, optimized geometry; values from VASP
! ΔE_f ... 3.0 kJ/mol of atoms
! Calculated volume ... 33.74 Å³/atom
! Raw total energy ... -4.33 eV per atom
! Crystal system ... monoclinic
&SYSTEM
  ibrav = 0, nat = 19, ntyp = 3
/
ATOMIC_SPECIES
Pm 145.00 Pm.upf
Nd 144.24 Nd.upf
Cd 112.41 Cd.upf
CELL_PARAMETERS angstrom
7.913 -4.677 0.000
7.913 4.677 0.000
-0.527 0.000 8.661
ATOMIC_POSITIONS angstrom
Pm 0.000 0.000 0.000
Pm 3.640 0.000 0.637
Pm 4.510 0.000 4.134
Pm 10.788 0.000 4.527
Pm 11.659 0.000 8.024
Nd 5.479 2.952 2.284
Nd 1.024 0.000 3.310
Nd 5.470 1.817 7.113
Nd 9.819 2.952 6.376
Nd 9.828 1.817 1.548
Nd 6.926 0.000 1.463
Nd 8.373 0.000 7.197
Nd 5.470 -1.817 7.113
Nd 5.479 -2.952 2.284
Nd 9.828 -1.817 1.548
Nd 14.275 0.000 5.351
Nd 9.819 -2.952 6.376
Cd 7.649 1.570 4.330
Cd 7.649 -1.570 4.330

=====

Question: Among the records above, which one has the highest calculated volume?
Answer: CsBaIn2I8

=====

Question: What is the calculated volume in the eighth record?
Answer: 24.04 Å³/atom

=====

Question: Which value of calculated volume does entry 9 give?
Answer: 16.51 Å³/atom

=====

Question: Which formula does entry 7 have?
Answer: Pr2SmHoTm4